A plane-wave DFT calculation with GGA-PBE was carried out for a geometry-optimized CsSnHg2Se structure. Values from VASP.

Geometry as Quantum ESPRESSO input:
```
&SYSTEM
  ibrav = 0, nat = 5, ntyp = 4
/
ATOMIC_SPECIES
Cs 132.91 Cs.upf
Sn 118.71 Sn.upf
Hg 200.59 Hg.upf
Se 78.96 Se.upf
ATOMIC_POSITIONS crystal
Cs 0.000 0.000 0.000
Sn 0.500 0.500 0.500
Hg 0.000 0.500 0.500
Hg 0.500 0.000 0.500
Se 0.500 0.500 0.000
CELL_PARAMETERS angstrom
5.741 0.000 0.000
0.000 5.741 0.000
0.000 0.000 5.711
```



A plane-wave DFT calculation with GGA-PBE was carried out for a geometry-optimized CsSrHgSe2 structure. Values from VASP.

Geometry as Quantum ESPRESSO input:
```
&SYSTEM
  ibrav = 0, nat = 10, ntyp = 4
/
ATOMIC_SPECIES
Cs 132.91 Cs.upf
Sr 87.62 Sr.upf
Hg 200.59 Hg.upf
Se 78.96 Se.upf
ATOMIC_POSITIONS crystal
Cs 0.000 0.176 0.250
Cs 0.000 0.824 0.750
Sr 0.500 0.487 0.750
Sr 0.500 0.513 0.250
Hg 0.500 0.000 0.000
Hg 0.500 0.000 0.500
Se 0.263 0.333 0.959
Se 0.263 0.667 0.459
Se 0.737 0.333 0.541
Se 0.737 0.667 0.041
CELL_PARAMETERS angstrom
8.406 0.000 0.000
0.000 5.971 0.000
-1.702 0.000 8.363
```



A plane-wave DFT calculation with GGA-PBE was carried out for a geometry-optimized Cs2SrHg2Se4 structure. Values from VASP.

Geometry as Quantum ESPRESSO input:
```
&SYSTEM
  ibrav = 0, nat = 9, ntyp = 4
/
ATOMIC_SPECIES
Cs 132.91 Cs.upf
Sr 87.62 Sr.upf
Hg 200.59 Hg.upf
Se 78.96 Se.upf
ATOMIC_POSITIONS crystal
Cs 0.129 0.129 0.057
Cs 0.871 0.871 0.943
Sr 0.000 0.000 0.500
Hg 0.336 0.336 0.522
Hg 0.664 0.664 0.478
Se 0.205 0.205 0.673
Se 0.484 0.484 0.741
Se 0.516 0.516 0.259
Se 0.795 0.795 0.327
CELL_PARAMETERS angstrom
8.561 -2.262 0.000
8.561 2.262 0.000
-2.735 0.000 8.120
```



A plane-wave DFT calculation with GGA-PBE was carried out for a geometry-optimized CsTaHgSe4 structure. Values from VASP.

Geometry as Quantum ESPRESSO input:
```
&SYSTEM
  ibrav = 0, nat = 14, ntyp = 4
/
ATOMIC_SPECIES
Cs 132.91 Cs.upf
Ta 180.95 Ta.upf
Hg 200.59 Hg.upf
Se 78.96 Se.upf
ATOMIC_POSITIONS crystal
Cs 0.168 0.250 0.374
Cs 0.832 0.750 0.626
Ta 0.369 0.750 0.215
Ta 0.631 0.250 0.785
Hg 0.152 0.250 0.821
Hg 0.848 0.750 0.179
Se 0.076 0.750 0.008
Se 0.225 0.750 0.406
Se 0.412 0.503 0.779
Se 0.412 0.997 0.779
Se 0.588 0.003 0.221
Se 0.588 0.497 0.221
Se 0.775 0.250 0.594
Se 0.924 0.250 0.992
CELL_PARAMETERS angstrom
6.251 0.000 0.000
0.000 7.996 0.000
-2.961 0.000 10.168
```



Number 1: magnetization 0.0 μB per formula unit, formation energy (no corrections) -332 meV/atom. Number 2: magnetization 0.0 μB per formula unit, formation energy (no corrections) -990 meV/atom. Number 3: magnetization 0.0 μB per formula unit, formation energy (no corrections) -1005 meV/atom. Number 4: magnetization 0.0 μB per formula unit, formation energy (no corrections) -724 meV/atom.